# CdTeRu, optimized geometry, DFT GGA-PBEsol
data_CdTeRu
_space_group_name_H-M_alt 'P 3 m 1'
_space_group_IT_number 156
_space_group_name_Hall 'P 3 -2"'
_cell_length_a 3.3945
_cell_length_b 3.3945
_cell_length_c 6.3407
_cell_angle_alpha 90.00
_cell_angle_beta 90.00
_cell_angle_gamma 120.00
loop_
_atom_site_label
_atom_site_fract_x
_atom_site_fract_y
_atom_site_fract_z
_atom_site_occupancy
Cd1 0.0000 0.0000 0.0000 1
Te1 0.6667 0.3333 0.4337 1
Ru1 0.3333 0.6667 0.6868 1
# Spin magnetization, μB/f.u.: 0.00
# Energy, eV per cell: -14.5
# Raw formation energy, eV/atom: 0.136